RbBAs3, relaxed, DFT GGA-PBE; electronic total energy = -1.7324 eV/atom; DFT formation energy = 2586 meV per atom; ρ = 2.9 g/cm³; size of the total moment = 0.00 μB/cell; energy above the most stable polymorph in this dataset = 1.9256 eV/atom
1.0
5.675 0.000 0.000
0.000 5.675 0.000
0.000 0.000 5.675
Rb B As
1 1 3
Direct
0.000 0.000 0.000 Rb
0.500 0.500 0.500 B
0.000 0.000 0.500 As
0.000 0.500 0.000 As
0.500 0.000 0.000 As

---

Li2AlPb, relaxed, DFT GGA-PBE; electronic total energy = -2.9212 eV/atom; DFT formation energy = -102 meV per atom; ρ = 5.1 g/cm³; size of the total moment = 0.00 μB/cell
1.0
4.923 -1.657 0.000
4.923 1.657 0.000
-0.901 0.000 4.934
Li Al Pb
2 1 1
Direct
0.000 0.000 0.000 Li
0.241 0.241 0.736 Li
0.742 0.742 0.210 Al
0.490 0.490 0.495 Pb

---

NaSr2SnF, relaxed, DFT GGA-PBE; electronic total energy = -3.5462 eV/atom; ρ = 4.1 g/cm³; size of the total moment = 0.00 μB/cell
1.0
5.291 0.000 0.000
0.000 5.291 0.000
0.000 0.000 4.810
Na Sr Sn F
1 2 1 1
Direct
0.000 0.000 0.000 Na
0.000 0.500 0.500 Sr
0.500 0.000 0.500 Sr
0.500 0.500 0.000 Sn
0.000 0.000 0.500 F

---

MgZn2Co, relaxed, DFT GGA-PBE; electronic total energy = -2.7451 eV/atom; DFT formation energy = 67 meV per atom; ρ = 6.2 g/cm³; size of the total moment = 1.30 μB/cell
1.0
2.676 -3.947 0.000
2.676 3.947 0.000
0.000 0.000 2.728
Mg Zn Co
1 2 1
Direct
0.000 0.000 0.000 Mg
0.000 0.500 0.500 Zn
0.500 0.000 0.500 Zn
0.500 0.500 0.000 Co

---

FePOs, relaxed, DFT GGA-PBE; electronic total energy = -8.1764 eV/atom; DFT formation energy = 191 meV per atom; ρ = 12.1 g/cm³; size of the total moment = 1.77 μB/cell
1.0
-1.417 1.881 3.569
1.417 -1.881 3.569
1.417 1.881 -3.569
Fe P Os
1 1 1
Direct
0.000 0.000 0.000 Fe
0.317 0.317 0.000 P
0.648 0.648 0.000 Os

---

Tb2ErInN, relaxed, DFT GGA-PBE; electronic total energy = -5.9724 eV/atom; ρ = 9.1 g/cm³; size of the total moment = 0.00 μB/cell
1.0
4.850 0.000 0.000
0.000 4.850 0.000
0.000 0.000 4.768
Tb Er In N
2 1 1 1
Direct
0.000 0.500 0.000 Tb
0.500 0.000 0.000 Tb
0.000 0.000 0.500 Er
0.500 0.500 0.500 In
0.000 0.000 0.000 N

---

Question: Look up the size of the total moment of the second one.
Answer: 0.00 μB/cell